{"formula": "Np2Co5Ge3", "functional": "PBE-GGA", "state": "optimized geometry", "lattice_angstrom": [[-1.611, 1.416, -3.277], [-5.397, -3.524, 1.130], [-3.751, 8.228, 7.743]], "species": ["Ge", "Ge", "Ge", "Ge", "Ge", "Ge", "Co", "Co", "Co", "Co", "Co", "Co", "Co", "Co", "Co", "Co", "Np", "Np", "Np", "Np"], "fractional_positions": [[0.055, 0.049, 0.111], [0.388, 0.916, 0.776], [0.945, 0.549, 0.889], [0.612, 0.417, 0.224], [0.244, 0.240, 0.487], [0.756, 0.740, 0.513], [0.710, 0.050, 0.419], [0.290, 0.550, 0.581], [0.145, 0.235, 0.291], [0.047, 0.435, 0.095], [0.712, 0.426, 0.424], [0.608, 0.023, 0.217], [0.392, 0.523, 0.783], [0.953, 0.935, 0.905], [0.855, 0.735, 0.709], [0.288, 0.926, 0.576], [0.521, 0.734, 0.042], [0.479, 0.234, 0.958], [0.842, 0.256, 0.683], [0.158, 0.757, 0.317]], "magmom_total_mub_per_atom": 0.552, "formation_enthalpy_0k_mev_per_atom": -177, "dft_energy_ev_per_cell": -154.1}